First-principles (meta-GGA SCAN) data for AgB3O5 at its PBEsol-relaxed geometry, as listed in Alexandria via LeMat-Bulk.

```
AgB3O5
1.0
3.852 0.000 0.000
0.000 8.296 0.000
0.000 0.000 10.375
B O Ag
12 20 4
direct
0.720 0.461 0.814
0.914 0.747 0.838
0.680 0.602 0.029
0.220 0.539 0.186
0.414 0.253 0.162
0.914 0.753 0.338
0.680 0.898 0.529
0.220 0.961 0.686
0.180 0.102 0.471
0.720 0.039 0.314
0.414 0.247 0.662
0.180 0.398 0.971
0.377 0.388 0.234
0.477 0.991 0.427
0.537 0.107 0.205
0.968 0.351 0.867
0.037 0.607 0.295
0.977 0.491 0.073
0.377 0.112 0.734
0.823 0.754 0.467
0.877 0.612 0.766
0.477 0.509 0.927
0.977 0.009 0.573
0.823 0.746 0.967
0.537 0.393 0.705
0.323 0.246 0.533
0.968 0.149 0.367
0.037 0.893 0.795
0.468 0.851 0.633
0.323 0.254 0.033
0.468 0.649 0.133
0.877 0.888 0.266
0.744 0.087 0.922
0.744 0.413 0.422
0.244 0.587 0.578
0.244 0.913 0.078
```

Output
ΔE_f (raw) = -2.22 eV/atom
Total DFT energy (no corrections) = -104.769 eV/f.u.